(1)
## SmIn2Au6 (PBE-GGA)

Data for crystalline SmIn2Au6 at its relaxed geometry.

Results
excess energy over the best structure of this formula in the dataset = 0.00 eV/f.u.
space group = C2/c (15)

Cell lengths 8.880, 8.880, 5.352 Å; angles 90.68, 90.68, 118.70 degrees
Sites, in units of the cell vectors:
Sm  0.249  0.751  0.750
Sm  0.751  0.249  0.250
In  0.162  0.340  0.497
In  0.340  0.162  0.997
In  0.660  0.838  0.003
In  0.838  0.660  0.503
Au  0.009  0.166  0.991
Au  0.086  0.588  0.243
Au  0.166  0.009  0.491
Au  0.335  0.495  0.005
Au  0.412  0.914  0.257
Au  0.495  0.335  0.505
Au  0.505  0.665  0.495
Au  0.588  0.086  0.743
Au  0.665  0.505  0.995
Au  0.834  0.991  0.509
Au  0.914  0.412  0.757
Au  0.991  0.834  0.009


(2)
## PuCdPt (PBE-GGA)

Data for crystalline PuCdPt at its relaxed geometry.

Results
space group = P-6m2 (187)

Cell lengths 4.924, 4.924, 2.996 Å; angles 90.00, 90.00, 120.00 degrees
Sites, in units of the cell vectors:
Pu  0.000  0.000  0.000
Cd  0.333  0.667  0.500
Pt  0.667  0.333  0.500


(3)
## YAl2Fe2 (PBE-GGA)

Data for crystalline YAl2Fe2 at its relaxed geometry.

Results
excess energy over the best structure of this formula in the dataset = 0.53 eV/f.u.
space group = P4/mbm (127)

Cell lengths 7.487, 7.487, 2.762 Å; angles 90.00, 90.00, 90.00 degrees
Sites, in units of the cell vectors:
Y  0.000  0.000  0.000
Y  0.500  0.500  0.000
Al  0.127  0.373  0.000
Al  0.373  0.873  0.000
Al  0.627  0.127  0.000
Al  0.873  0.627  0.000
Fe  0.164  0.664  0.500
Fe  0.336  0.164  0.500
Fe  0.664  0.836  0.500
Fe  0.836  0.336  0.500


(4)
## Ca2BeIn (PBE-GGA)

Data for crystalline Ca2BeIn at its relaxed geometry.

Results
excess energy over the best structure of this formula in the dataset = 0.00 eV/f.u.
space group = Amm2 (38)

Cell lengths 4.555, 6.221, 6.221 Å; angles 37.75, 90.00, 90.00 degrees
Sites, in units of the cell vectors:
Ca  0.000  0.000  0.000
Ca  0.500  0.301  0.301
Be  0.000  0.705  0.705
In  0.500  0.592  0.592


Result set for total moment: 0.0; 5.7; 2.2; 0.0 μB per formula unit, one per record in the order listed.
Result set for VASP energy: -3.663; -7.508; -6.283; -2.660 eV per atom, one per record in the order listed.
Result set for ΔH_f (0 K): -3.107; -1.237; -0.540; -0.174 eV/f.u., one per record in the order listed.